No. 1
Below is an optimized crystal structure of ScTl2W, with properties calculated at the PBE level.

The final energy comes out at -5.553 eV per atom. The value obtained for the energy of formation is 1.805 eV/f.u. Its crystal system is monoclinic.

The structure belongs to space group C2/m (No. 12); the cell edges are 9.973, 3.101 and 5.563 Å and the angles 90.00°, 99.63° and 90.00°. The inequivalent atoms are Sc at (0.000, 0.000, 0.000), Tl at (0.246, 0.000, 0.740) and W at (0.000, 0.500, 0.500).

=====

No. 2
Below is an optimized crystal structure of YScTl, with properties calculated at the PBE level.

The final energy comes out at -5.330 eV per atom. The value obtained for the energy of formation is -0.828 eV/f.u. Its crystal system is trigonal.

The structure belongs to space group P3m1 (No. 156); the cell edges are 5.2356, 5.2356 and 6.5834 Å and the angles 90.00°, 90.00° and 120.00°. The inequivalent atoms are Y at (0.0000, 0.0000, 0.0000), Y at (0.3333, 0.6667, 0.2827), Sc at (0.3333, 0.6667, 0.7573), Sc at (0.6667, 0.3333, 0.5437), Tl at (0.0000, 0.0000, 0.5160) and Tl at (0.6667, 0.3333, 0.0260).